# Ba2MnGe2O7

A relaxed structure of Ba2MnGe2O7 (GGA-PBEsol, the Alexandria database).

Lattice parameters (Å, degrees): 8.479 8.479 5.518 90.00 90.00 90.00
Space group P-42_1m (No. 113)
Unique sites:
Ba 0.165 0.335 0.008
Mn 0.000 0.000 0.500
Ge 0.140 0.640 0.542
O 0.000 0.500 0.665
O 0.078 0.813 0.692
O 0.137 0.637 0.228

The formation energy from raw total energies is -206.5 kJ/mol of atoms. For the total DFT energy (no corrections), the calculation gives -86.37 eV per formula unit.


# InAg2Ir

A relaxed structure of InAg2Ir (GGA-PBEsol, the Alexandria database).

Lattice parameters (Å, degrees): 3.033 4.563 9.691 90.00 90.00 90.00
Space group Immm (No. 71)
Unique sites:
In 0.000 0.000 0.000
Ag 0.000 0.500 0.244
Ir 0.000 0.000 0.500

For the formation energy, the calculation gives 0.102 eV/atom. For the total DFT energy (no corrections), the calculation gives -19.02 eV per formula unit.


# BaYW2

A relaxed structure of BaYW2 (GGA-PBEsol, the Alexandria database).

Lattice parameters (Å, degrees): 5.015 5.015 3.480 90.00 90.00 90.00
Space group P4/mmm (No. 123)
Unique sites:
Ba 0.000 0.000 0.000
Y 0.500 0.500 0.000
W 0.000 0.500 0.500

For the formation energy, the calculation gives 1.612 eV/atom. The energy above the most stable polymorph in this dataset comes out at 1054.2 meV per atom. For the total DFT energy (no corrections), the calculation gives -30.14 eV per formula unit.


# CdFeIr2

A relaxed structure of CdFeIr2 (GGA-PBEsol, the Alexandria database).

Lattice parameters (Å, degrees): 9.042 2.758 4.774 90.00 100.38 90.00
Space group Cm (No. 8)
Unique sites:
Cd 0.000 0.000 0.000
Fe 0.258 0.500 0.257
Ir 0.240 0.000 0.706
Ir 0.498 0.000 0.495

For the formation energy, the calculation gives 0.234 eV/atom. For the total DFT energy (no corrections), the calculation gives -28.87 eV per formula unit.


# BaLi2Hg

A relaxed structure of BaLi2Hg (GGA-PBEsol, the Alexandria database).

Lattice parameters (Å, degrees): 3.851 3.851 7.566 90.00 90.00 90.00
Space group P4mm (No. 99)
Unique sites:
Ba 0.000 0.000 0.000
Li 0.000 0.000 0.452
Li 0.500 0.500 0.639
Hg 0.500 0.500 0.280

For the formation energy, the calculation gives -0.229 eV/atom. For the total DFT energy (no corrections), the calculation gives -7.56 eV per formula unit.


# Sc2AlCu

A relaxed structure of Sc2AlCu (GGA-PBEsol, the Alexandria database).

Lattice parameters (Å, degrees): 6.549 6.549 6.549 90.00 90.00 90.00
Space group F-43m (No. 216)
Unique sites:
Sc 0.000 0.000 0.000
Sc 0.250 0.250 0.250
Al 0.000 0.000 0.500
Cu 0.250 0.250 0.750

For the formation energy, the calculation gives -0.034 eV/atom. For the total DFT energy (no corrections), the calculation gives -21.77 eV per formula unit.


Q: Which value of total DFT energy (no corrections) does entry 4 give?
A: -28.87 eV per formula unit


Q: Which of these has the lowest total DFT energy (no corrections)?
A: Ba2MnGe2O7